(1)
Here is a PBEsol-optimized structure of YScCd2 from Alexandria. Energies are from meta-GGA SCAN.

DOS at the Fermi energy = 0.87 states/eV per atom
space-group type = Cm (8)
volume = 93.1 Å³/f.u.
calculated total energy = -26.028 eV/atom
calculated formation energy = -0.301 eV per atom

Cell lengths 3.4590, 5.1059, 6.0112 Å; angles 112.63, 106.72, 90.00 degrees
Each line ends with the local moment (μB).
Element x y z (fractional)
Cd  0.9816  0.9986  0.9632  0.01
Cd  0.2645  0.7466  0.5290  0.01
Sc  0.5132  0.5245  0.0263  0.22
Y  0.7407  0.2303  0.4815  0.26



(2)
Here is a PBEsol-optimized structure of Y2ScCd from Alexandria. Energies are from meta-GGA SCAN.

DOS at the Fermi energy = 0.95 states/eV per atom
space-group type = Cm (8)
volume = 104.5 Å³/f.u.
calculated total energy = -25.306 eV/atom
calculated formation energy = -0.222 eV per atom

Cell lengths 3.6546, 5.1800, 6.3639 Å; angles 114.03, 106.69, 90.00 degrees
Element x y z (fractional)
Y  0.7738  0.2733  0.5476
Y  0.9959  0.9963  0.9918
Cd  0.5096  0.5104  0.0193
Sc  0.2207  0.7200  0.4413



(3)
Here is a PBEsol-optimized structure of Y2ScCd from Alexandria. Energies are from meta-GGA SCAN.

DOS at the Fermi energy = 1.13 states/eV per atom
space-group type = Cmmm (65)
volume = 103.3 Å³/f.u.
calculated total energy = -25.220 eV/atom
calculated formation energy = -0.136 eV per atom

Cell lengths 3.6489, 5.3494, 5.3494 Å; angles 98.31, 90.00, 90.00 degrees
Element x y z (fractional)
Y  0.0000  0.0000  0.5000
Y  0.0000  0.5000  0.0000
Sc  0.5000  0.5000  0.5000
Cd  0.5000  0.0000  0.0000



(4)
Here is a PBEsol-optimized structure of YScCd2 from Alexandria. Energies are from meta-GGA SCAN.

DOS at the Fermi energy = 0.70 states/eV per atom
space-group type = Pmm2 (25)
volume = 92.4 Å³/f.u.
calculated total energy = -26.165 eV/atom
calculated formation energy = -0.438 eV per atom

Cell lengths 3.6260, 5.0488, 5.0471 Å; angles 90.00, 89.97, 90.00 degrees
Element x y z (fractional)
Cd  0.8750  0.0000  0.8759
Cd  0.8750  0.5000  0.3742
Y  0.3750  0.5000  0.8744
Sc  0.3750  0.0000  0.3755